# 1
The following is a DFT calculation (PBE) of MnPdC2I after structural relaxation.

The structure in POSCAR format:
```
MnPdC2I
1.0
4.234 0.000 0.000
0.000 4.234 0.000
0.000 0.000 4.694
Mn Pd C I
1 1 2 1
Cartesian
0.000 0.000 0.000
2.117 2.117 0.000
0.000 2.117 2.347
2.117 0.000 2.347
0.000 0.000 2.347
```

Calculated values
D(E_F)	1.49	states/eV per atom
energy	-18.88	eV per formula unit


# 2
The following is a DFT calculation (PBE) of MnRhCI2 after structural relaxation.

The structure in POSCAR format:
```
MnRhCI2
1.0
5.428 0.000 0.000
0.000 5.428 0.000
0.000 0.000 4.526
Mn Rh C I
1 1 1 2
Cartesian
0.000 0.000 0.000
0.000 0.000 2.263
2.714 2.714 0.000
0.000 2.714 2.263
2.714 0.000 2.263
```

Calculated values
D(E_F)	1.60	states/eV per atom
energy	-18.06	eV per formula unit


# 3
The following is a DFT calculation (PBE) of MnSb2CI after structural relaxation.

The structure in POSCAR format:
```
MnSb2CI
1.0
5.071 0.000 0.000
0.000 5.071 0.000
0.000 0.000 5.349
Mn Sb C I
1 2 1 1
Cartesian
0.000 0.000 0.000
0.000 2.536 0.000
2.536 0.000 0.000
2.536 2.536 2.674
0.000 0.000 2.674
```

Calculated values
D(E_F)	0.92	states/eV per atom
E above lowest polymorph	2.8	kJ per mole of atoms
energy	-20.00	eV per formula unit